*A*
This record from Alexandria describes YTmZnGe after structural relaxation. The functional is GGA-PBE.

Calculated density   7.1 g/cm3
Space group   No. 38
Magnetic moment   0.374 Bohr magnetons per cell
Volume   23.004 Å³/atom

POSCAR file:
```
YTmZnGe
1.0
4.0862 0.0000 0.0000
0.0000 4.1691 0.0000
0.0000 0.0000 10.8028
Y Tm Zn Ge
2 2 2 2
Direct
0.0000 0.0000 0.0000
0.0000 0.5000 0.5000
0.5000 0.0000 0.2820
0.5000 0.5000 0.7820
0.5000 0.0000 0.5668
0.5000 0.5000 0.0668
0.0000 0.0000 0.7198
0.0000 0.5000 0.2198
```

*B*
This record from Alexandria describes YTmZnGe after structural relaxation. The functional is GGA-PBE.

Calculated density   7.5 g/cm3
Space group   No. 216
Magnetic moment   0.000 Bohr magnetons per cell
Volume   21.976 Å³/atom

POSCAR file:
```
YTmZnGe
1.0
7.0582 0.0000 0.0000
0.0000 7.0582 0.0000
0.0000 0.0000 7.0582
Y Tm Zn Ge
4 4 4 4
Direct
0.0000 0.0000 0.0000
0.0000 0.5000 0.5000
0.5000 0.0000 0.5000
0.5000 0.5000 0.0000
0.0000 0.0000 0.5000
0.0000 0.5000 0.0000
0.5000 0.0000 0.0000
0.5000 0.5000 0.5000
0.2500 0.2500 0.2500
0.2500 0.7500 0.7500
0.7500 0.2500 0.7500
0.7500 0.7500 0.2500
0.2500 0.2500 0.7500
0.2500 0.7500 0.2500
0.7500 0.2500 0.2500
0.7500 0.7500 0.7500
```

Looking at the structures above, *A* is most stable, and the difference to the next one is 109 meV per atom.